First-principles (PBE) data for an optimized crystal structure of OsW2Br, as listed in Alexandria via LeMat-Bulk.

a b c (Å): 3.659 2.940 7.004
angles (deg): 90.07 90.00 90.00
Fractional positions:
1 Os 0.500 0.750 0.750
2 Br 0.500 0.250 0.250
3 W 0.000 0.268 0.935
4 W 0.000 0.232 0.565

Calculated values
Raw total energy, eV/cell: -35.9
Symmetry: P2/m (10)
D(E_F), states/eV per cell: 4.757
Distance to the lowest polymorph of the same formula, kJ/mol of atoms: 10.2
Density, g/cm3: 14.1